VASP calculation (GGA-PBE) on an optimized crystal structure of Nb5Ir4Pd.

```
Nb5Ir4Pd
1.0
2.872 0.000 0.000
0.000 2.872 0.000
0.000 0.000 19.708
Nb Ir Pd
5 4 1
direct
0.000 0.000 0.000
0.000 0.000 0.198
0.000 0.000 0.395
0.000 0.000 0.605
0.000 0.000 0.802
0.500 0.500 0.098
0.500 0.500 0.299
0.500 0.500 0.701
0.500 0.500 0.902
0.500 0.500 0.500
```

Calculated values
Crystal system ... tetragonal
E_tot ... -95.75 eV for the cell shown
DOS at the Fermi energy ... 1.057 states/eV/atom
M_tot ... 0.000 μB/cell
Formation enthalpy at 0 K ... -476 meV/atom

***

VASP calculation (GGA-PBE) on an optimized crystal structure of NbIrPd.

```
NbIrPd
1.0
4.482 0.000 0.000
-2.241 3.882 0.000
0.000 0.000 2.769
Nb Ir Pd
1 1 1
direct
0.000 0.000 0.000
0.667 0.333 0.500
0.333 0.667 0.500
```

Calculated values
Crystal system ... hexagonal
E_tot ... -24.62 eV for the cell shown
DOS at the Fermi energy ... 1.712 states/eV/atom
M_tot ... 0.000 μB/cell
Formation enthalpy at 0 K ... -166 meV/atom
Excess energy over the best structure of this formula in the dataset ... 262 meV per atom

***

VASP calculation (GGA-PBE) on an optimized crystal structure of NbIr2Pd.

```
NbIr2Pd
1.0
0.000 3.156 3.156
3.156 0.000 3.156
3.156 3.156 0.000
Nb Ir Pd
1 2 1
direct
0.000 0.000 0.000
0.250 0.250 0.250
0.750 0.750 0.750
0.500 0.500 0.500
```

Calculated values
Crystal system ... cubic
E_tot ... -33.60 eV for the cell shown
DOS at the Fermi energy ... 1.352 states/eV/atom
M_tot ... 0.000 μB/cell
Formation enthalpy at 0 K ... -155 meV/atom
Excess energy over the best structure of this formula in the dataset ... 278 meV per atom

***

VASP calculation (GGA-PBE) on an optimized crystal structure of Nb2IrPd5.

```
Nb2IrPd5
1.0
5.651 0.000 0.000
0.000 11.299 0.000
0.000 0.000 3.929
Nb Ir Pd
4 2 10
direct
0.230 0.119 0.000
0.270 0.619 0.000
0.730 0.381 0.000
0.770 0.881 0.000
0.000 0.000 0.500
0.500 0.500 0.500
0.000 0.500 0.500
0.014 0.751 0.500
0.238 0.373 0.000
0.262 0.873 0.000
0.486 0.251 0.500
0.500 0.000 0.500
0.514 0.749 0.500
0.738 0.127 0.000
0.762 0.627 0.000
0.986 0.249 0.500
```

Calculated values
Crystal system ... orthorhombic
E_tot ... -115.61 eV for the cell shown
DOS at the Fermi energy ... 0.891 states/eV/atom
M_tot ... 1.040 μB/cell
Formation enthalpy at 0 K ... -355 meV/atom

***

VASP calculation (GGA-PBE) on an optimized crystal structure of NbIr2Pd.

```
NbIr2Pd
1.0
3.987 0.000 0.000
0.000 3.987 0.000
0.000 0.000 3.857
Nb Ir Pd
1 2 1
direct
0.000 0.000 0.000
0.000 0.500 0.500
0.500 0.000 0.500
0.500 0.500 0.000
```

Calculated values
Crystal system ... tetragonal
E_tot ... -34.72 eV for the cell shown
DOS at the Fermi energy ... 0.785 states/eV/atom
M_tot ... 0.000 μB/cell
Formation enthalpy at 0 K ... -433 meV/atom
Excess energy over the best structure of this formula in the dataset ... 0 meV per atom

***

VASP calculation (GGA-PBE) on an optimized crystal structure of Nb2IrPd3.

```
Nb2IrPd3
1.0
6.065 -1.948 0.000
6.065 1.948 0.000
-4.107 0.000 8.191
Nb Ir Pd
4 2 6
direct
0.027 0.027 0.358
0.286 0.286 0.637
0.714 0.714 0.363
0.973 0.973 0.642
0.377 0.377 0.383
0.623 0.623 0.617
0.128 0.128 0.132
0.208 0.208 0.878
0.462 0.462 0.131
0.538 0.538 0.869
0.792 0.792 0.122
0.872 0.872 0.868
```

Calculated values
Crystal system ... monoclinic
E_tot ... -93.22 eV for the cell shown
DOS at the Fermi energy ... 0.777 states/eV/atom
M_tot ... 0.000 μB/cell
Formation enthalpy at 0 K ... -338 meV/atom

***

VASP calculation (GGA-PBE) on an optimized crystal structure of NbIr2Pd.

```
NbIr2Pd
1.0
-3.587 3.587 2.704
3.587 -3.587 2.704
3.587 3.587 -2.704
Nb Ir Pd
2 4 2
direct
0.000 0.000 0.000
0.750 0.250 0.500
0.100 0.625 0.975
0.375 0.350 0.475
0.650 0.125 0.025
0.875 0.900 0.525
0.250 0.750 0.500
0.500 0.500 0.000
```

Calculated values
Crystal system ... tetragonal
E_tot ... -64.42 eV for the cell shown
DOS at the Fermi energy ... 1.115 states/eV/atom
M_tot ... 0.000 μB/cell
Formation enthalpy at 0 K ... 194 meV/atom
Excess energy over the best structure of this formula in the dataset ... 627 meV per atom

***

VASP calculation (GGA-PBE) on an optimized crystal structure of Nb2Ir2Pd.

```
Nb2Ir2Pd
1.0
7.526 0.000 0.000
0.000 7.526 0.000
0.000 0.000 2.985
Nb Ir Pd
4 4 2
direct
0.167 0.333 0.000
0.333 0.833 0.000
0.667 0.167 0.000
0.833 0.667 0.000
0.133 0.633 0.500
0.367 0.133 0.500
0.633 0.867 0.500
0.867 0.367 0.500
0.000 0.000 0.500
0.500 0.500 0.500
```

Calculated values
Crystal system ... tetragonal
E_tot ... -90.11 eV for the cell shown
DOS at the Fermi energy ... 0.576 states/eV/atom
M_tot ... 0.000 μB/cell
Formation enthalpy at 0 K ... -400 meV/atom
Excess energy over the best structure of this formula in the dataset ... 0 meV per atom

***

VASP calculation (GGA-PBE) on an optimized crystal structure of NbIrPd.

```
NbIrPd
1.0
1.817 -6.454 0.000
1.817 6.454 0.000
0.000 0.000 4.081
Nb Ir Pd
2 2 2
direct
0.094 0.906 0.750
0.906 0.094 0.250
0.427 0.573 0.750
0.573 0.427 0.250
0.245 0.755 0.250
0.755 0.245 0.750
```

Calculated values
Crystal system ... orthorhombic
E_tot ... -50.82 eV for the cell shown
DOS at the Fermi energy ... 0.378 states/eV/atom
M_tot ... 0.000 μB/cell
Formation enthalpy at 0 K ... -429 meV/atom
Excess energy over the best structure of this formula in the dataset ... 0 meV per atom

***

VASP calculation (GGA-PBE) on an optimized crystal structure of Nb3IrPd.

```
Nb3IrPd
1.0
4.828 0.000 0.000
0.000 4.828 0.000
0.000 0.000 4.828
Nb Ir Pd
3 1 1
direct
0.000 0.000 0.500
0.000 0.500 0.000
0.500 0.000 0.000
0.000 0.000 0.000
0.500 0.500 0.500
```

Calculated values
Crystal system ... cubic
E_tot ... -39.54 eV for the cell shown
DOS at the Fermi energy ... 1.137 states/eV/atom
M_tot ... 0.000 μB/cell
Formation enthalpy at 0 K ... 945 meV/atom
Excess energy over the best structure of this formula in the dataset ... 0 meV per atom

***

VASP calculation (GGA-PBE) on an optimized crystal structure of NbIrPd3.

```
NbIrPd3
1.0
4.715 0.000 0.000
0.000 4.715 0.000
0.000 0.000 4.715
Nb Ir Pd
1 1 3
direct
0.000 0.000 0.000
0.500 0.500 0.500
0.000 0.000 0.500
0.000 0.500 0.000
0.500 0.000 0.000
```

Calculated values
Crystal system ... cubic
E_tot ... -27.21 eV for the cell shown
DOS at the Fermi energy ... 1.192 states/eV/atom
M_tot ... 0.282 μB/cell
Formation enthalpy at 0 K ... 1461 meV/atom
Excess energy over the best structure of this formula in the dataset ... 0 meV per atom

***

VASP calculation (GGA-PBE) on an optimized crystal structure of NbIrPd3.

```
NbIrPd3
1.0
4.756 0.000 0.000
0.000 4.756 0.000
0.000 0.000 4.756
Nb Ir Pd
1 1 3
direct
0.000 0.000 0.000
0.500 0.500 0.500
0.000 0.500 0.500
0.500 0.000 0.500
0.500 0.500 0.000
```

Calculated values
Crystal system ... cubic
E_tot ... -27.18 eV for the cell shown
DOS at the Fermi energy ... 2.869 states/eV/atom
M_tot ... 0.000 μB/cell
Formation enthalpy at 0 K ... 1465 meV/atom
Excess energy over the best structure of this formula in the dataset ... 5 meV per atom